Model one:
# LiAcSe

A geometry-optimized LiAcSe structure (GGA-PBE, the Alexandria database).

D(E_F) in states/eV/atom: 1.01

Cell and atoms, written as POSCAR:
```
LiAcSe
1.0
-1.8068 -3.8572 -0.8229
3.8460 -1.9237 0.5723
-1.9106 2.3895 4.4300
Se Ac Li
1 1 1
direct
0.5900 0.5900 0.1799
0.9474 0.9474 0.8949
0.3126 0.3126 0.6252
```

---

Model two:
# LiAcSe

A geometry-optimized LiAcSe structure (GGA-PBE, the Alexandria database).

D(E_F) in states/eV/atom: 0.12

Cell and atoms, written as POSCAR:
```
LiAcSe
1.0
4.7983 0.0000 0.0000
0.0000 4.2308 0.0000
0.0000 -2.1154 3.6640
Se Li Ac
1 1 1
direct
0.1665 0.0000 0.0000
0.1669 0.3333 0.6667
0.6666 0.6667 0.3333
```

---

Stability verdict: model two, ahead by 395 meV per atom